Ba2LaCoCu2O7 (GGA+U, optimized geometry); calculated density = 6.4 g/cm³; Fermi-level density of states = 0.2492 states/eV per atom; energy = -6.22 eV/atom
1.0
-0.180 3.868 -0.660
-3.859 -0.024 0.907
2.675 2.076 11.444
Ba La Co Cu O
2 1 1 2 7
direct
0.500 0.500 0.180
0.500 0.500 0.820
0.500 0.500 0.500
0.000 0.000 0.000
0.000 0.000 0.350
0.000 0.000 0.650
0.500 0.000 0.368
0.500 0.000 0.632
0.000 0.000 0.150
0.000 0.000 0.850
0.000 0.500 0.368
0.000 0.500 0.632
0.000 0.500 0.000